(1)
A crystal of LiLaZn2 relaxed with PBEsol. Source: the Alexandria database, functional SCAN.

a b c (Å): 3.357 3.357 6.983
angles (deg): 90.00 90.00 90.00
Space group P4/mmm (No. 123)
Symmetry-distinct sites (fractional):
Li: 0.000 0.000 0.000 x1
La: 0.000 0.000 0.500 x1
Zn: 0.500 0.500 0.191 x2

Output
Calculated formation energy: -0.2143 eV/atom


(2)
A crystal of Ag4C relaxed with PBEsol. Source: the Alexandria database, functional SCAN.

a b c (Å): 3.559 3.559 13.886
angles (deg): 90.00 90.00 90.00
Space group I4/mmm (No. 139)
Symmetry-distinct sites (fractional):
Ag: 0.000 0.000 0.092 x4
Ag: 0.000 0.500 0.250 x4
C: 0.000 0.000 0.500 x2

Output
Calculated formation energy: 1.4764 eV/atom


(3)
A crystal of CsTlP2S relaxed with PBEsol. Source: the Alexandria database, functional SCAN.

a b c (Å): 5.610 5.610 5.476
angles (deg): 90.00 90.00 90.00
Space group P4/mmm (No. 123)
Symmetry-distinct sites (fractional):
Cs: 0.000 0.000 0.000 x1
Tl: 0.500 0.500 0.500 x1
P: 0.000 0.500 0.000 x2
S: 0.000 0.000 0.500 x1

Output
Formation energy from raw total energies: 1.458 eV/atom


(4)
A crystal of Cr11Mo5 relaxed with PBEsol. Source: the Alexandria database, functional SCAN.

a b c (Å): 5.846 5.852 5.860
angles (deg): 90.00 90.27 90.00
Space group Pm (No. 6)
Symmetry-distinct sites (fractional):
Cr: 0.000 0.000 0.000 x1
Cr: 0.001 0.000 0.513 x1
Cr: 0.250 0.253 0.758 x2
Cr: 0.506 0.500 0.513 x1
Cr: 0.510 0.500 0.001 x1
Cr: 0.755 0.253 0.253 x2
Cr: 0.756 0.253 0.760 x2
Cr: 0.997 0.500 0.003 x1
Mo: 0.250 0.252 0.252 x2
Mo: 0.511 0.000 0.001 x1
Mo: 0.511 0.000 0.511 x1
Mo: 0.996 0.500 0.513 x1

Output
Calculated formation energy: -0.0042 eV/atom


(5)
A crystal of Tl2TcOs relaxed with PBEsol. Source: the Alexandria database, functional SCAN.

a b c (Å): 5.956 9.181 2.986
angles (deg): 90.00 118.47 90.00
Space group C2/m (No. 12)
Symmetry-distinct sites (fractional):
Tl: 0.250 0.250 0.000 x4
Tc: 0.000 0.000 0.500 x2
Os: 0.000 0.500 0.500 x2

Output
Calculated formation energy: 1.0788 eV/atom


(6)
A crystal of CaCd2AsCl relaxed with PBEsol. Source: the Alexandria database, functional SCAN.

a b c (Å): 5.204 5.204 5.071
angles (deg): 90.00 90.00 90.00
Space group P4/mmm (No. 123)
Symmetry-distinct sites (fractional):
Ca: 0.000 0.000 0.000 x1
Cd: 0.000 0.500 0.500 x2
As: 0.500 0.500 0.000 x1
Cl: 0.000 0.000 0.500 x1

Output
Formation energy from raw total energies: -0.082 eV/atom